A.
DFT (PBE) results for crystalline UReW at its relaxed geometry.

Unit cell a=4.4052 b=4.4052 c=4.4052 alpha=60.00 beta=60.00 gamma=60.00
Last column: nearest neighbours and their distance in Å.
Fractional coordinates of all 3 atoms:
1 Re 0.0000 0.0000 0.0000  4 U 2.70
2 U 0.2500 0.2500 0.2500  4 W 2.70, 4 Re 2.70
3 W 0.5000 0.5000 0.5000  4 U 2.70

Output
SG: No. 216
volume: 20.15 A^3/atom

B.
DFT (PBE) results for crystalline UReW at its relaxed geometry.

Unit cell a=4.4618 b=4.4618 c=4.4618 alpha=60.00 beta=60.00 gamma=60.00
Last column: nearest neighbours and their distance in Å.
Fractional coordinates of all 3 atoms:
1 Re 0.0000 0.0000 0.0000  4 U 2.73, 4 W 2.73
2 U 0.7500 0.7500 0.7500  4 Re 2.73
3 W 0.2500 0.2500 0.2500  4 Re 2.73

Output
SG: No. 216
volume: 20.94 A^3/atom

The structure with the greatest stability is B.

A.
DFT (PBE) results for crystalline UZnRe at its relaxed geometry.

Unit cell a=4.4963 b=4.4963 c=4.4963 alpha=60.00 beta=60.00 gamma=60.00
Last column: nearest neighbours and their distance in Å.
Fractional coordinates of all 3 atoms:
1 Re 0.2500 0.2500 0.2500  4 U 2.75
2 U 0.0000 0.0000 0.0000  4 Zn 2.75, 4 Re 2.75
3 Zn 0.7500 0.7500 0.7500  4 U 2.75

Output
SG: No. 216
volume: 21.43 A^3/atom

B.
DFT (PBE) results for crystalline UZnRe at its relaxed geometry.

Unit cell a=4.4527 b=4.4527 c=4.4527 alpha=60.00 beta=60.00 gamma=60.00
Last column: nearest neighbours and their distance in Å.
Fractional coordinates of all 3 atoms:
1 Re 0.0000 0.0000 0.0000  4 U 2.73, 4 Zn 2.73
2 U 0.7500 0.7500 0.7500  4 Re 2.73
3 Zn 0.2500 0.2500 0.2500  4 Re 2.73

Output
SG: No. 216
volume: 20.81 A^3/atom

The structure with the greatest stability is B.

A.
DFT (PBE) results for crystalline ZrURe at its relaxed geometry.

Unit cell a=4.5005 b=4.5005 c=4.5005 alpha=60.00 beta=60.00 gamma=60.00
Last column: nearest neighbours and their distance in Å.
Fractional coordinates of all 3 atoms:
1 Re 0.2500 0.2500 0.2500  4 U 2.76
2 U 0.0000 0.0000 0.0000  4 Re 2.76, 4 Zr 2.76
3 Zr 0.7500 0.7500 0.7500  4 U 2.76

Output
SG: No. 216
volume: 21.49 A^3/atom

B.
DFT (PBE) results for crystalline ZrURe at its relaxed geometry.

Unit cell a=4.6280 b=4.6280 c=4.6280 alpha=60.00 beta=60.00 gamma=60.00
Last column: nearest neighbours and their distance in Å.
Fractional coordinates of all 3 atoms:
1 Re 0.0000 0.0000 0.0000  4 U 2.83, 4 Zr 2.83
2 U 0.7500 0.7500 0.7500  4 Re 2.83
3 Zr 0.2500 0.2500 0.2500  4 Re 2.83

Output
SG: No. 216
volume: 23.36 A^3/atom

The structure with the greatest stability is B.